DFT (PBE) results for an optimized crystal structure of RbSrIr3.

Calculated values
Formation enthalpy at 0 K   2.271 eV per atom
E above lowest polymorph   0.0 meV per atom

Cell lengths 5.280, 5.280, 5.280 Å; angles 90.00, 90.00, 90.00 degrees
Element x y z (fractional)
1 Rb 0.000 0.000 0.000
2 Sr 0.500 0.500 0.500
3 Ir 0.000 0.500 0.500
4 Ir 0.500 0.000 0.500
5 Ir 0.500 0.500 0.000

DFT (PBE) results for an optimized crystal structure of Ho12TcSn6.

Calculated values
Formation enthalpy at 0 K   -0.332 eV per atom

Cell lengths 8.577, 8.577, 8.577 Å; angles 99.53, 99.53, 99.53 degrees
Element x y z (fractional)
1 Ho 0.018 0.686 0.946
2 Ho 0.054 0.982 0.314
3 Ho 0.196 0.424 0.557
4 Ho 0.314 0.054 0.982
5 Ho 0.424 0.557 0.196
6 Ho 0.443 0.804 0.576
7 Ho 0.557 0.196 0.424
8 Ho 0.576 0.443 0.804
9 Ho 0.686 0.946 0.018
10 Ho 0.804 0.576 0.443
11 Ho 0.946 0.018 0.686
12 Ho 0.982 0.314 0.054
13 Tc 0.000 0.000 0.000
14 Sn 0.123 0.639 0.312
15 Sn 0.312 0.123 0.639
16 Sn 0.361 0.688 0.877
17 Sn 0.639 0.312 0.123
18 Sn 0.688 0.877 0.361
19 Sn 0.877 0.361 0.688

DFT (PBE) results for an optimized crystal structure of Cs2Rb2Au.

Calculated values
Formation enthalpy at 0 K   -0.126 eV per atom
E above lowest polymorph   16.1 meV per atom

Cell lengths 7.282, 7.282, 7.145 Å; angles 90.00, 90.00, 90.00 degrees
Element x y z (fractional)
1 Cs 0.000 0.500 0.000
2 Cs 0.500 0.000 0.000
3 Rb 0.000 0.000 0.500
4 Rb 0.500 0.500 0.500
5 Au 0.000 0.000 0.000

DFT (PBE) results for an optimized crystal structure of CaPaHgO6.

Calculated values
Formation energy without anion corrections   -1.809 eV per atom

Cell lengths 5.629, 5.629, 4.830 Å; angles 90.00, 90.00, 120.00 degrees
Element x y z (fractional)
1 Ca 0.000 0.000 0.000
2 Pa 0.667 0.333 0.500
3 Hg 0.333 0.667 0.000
4 O 0.362 0.011 0.250
5 O 0.362 0.352 0.750
6 O 0.648 0.011 0.750
7 O 0.648 0.638 0.250
8 O 0.989 0.352 0.250
9 O 0.989 0.638 0.750

DFT (PBE) results for an optimized crystal structure of ReN.

Calculated values
E above lowest polymorph   131.5 meV per atom
Formation energy without anion corrections   0.175 eV per atom

Cell lengths 6.069, 6.069, 6.069 Å; angles 93.20, 93.20, 152.66 degrees
Element x y z (fractional)
1 Re 0.100 0.675 0.775
2 Re 0.325 0.100 0.425
3 Re 0.675 0.900 0.575
4 Re 0.900 0.325 0.225
5 N 0.114 0.225 0.339
6 N 0.225 0.886 0.111
7 N 0.775 0.114 0.889
8 N 0.886 0.775 0.661

DFT (PBE) results for an optimized crystal structure of Mg5Tl2Sn.

Calculated values
Formation enthalpy at 0 K   -0.059 eV per atom

Cell lengths 9.203, 9.203, 9.203 Å; angles 150.27, 150.27, 42.54 degrees
Element x y z (fractional)
1 Mg 0.000 0.000 0.000
2 Mg 0.124 0.624 0.500
3 Mg 0.376 0.876 0.500
4 Mg 0.624 0.124 0.500
5 Mg 0.876 0.376 0.500
6 Tl 0.246 0.246 0.000
7 Tl 0.754 0.754 0.000
8 Sn 0.500 0.500 0.000

DFT (PBE) results for an optimized crystal structure of CuAgAs2.

Calculated values
Formation enthalpy at 0 K   0.269 eV per atom
E above lowest polymorph   110.2 meV per atom

Cell lengths 4.895, 4.895, 3.000 Å; angles 90.11, 90.11, 104.50 degrees
Element x y z (fractional)
1 Cu 0.000 0.000 0.000
2 Ag 0.500 0.500 0.000
3 As 0.000 0.500 0.500
4 As 0.500 0.000 0.500

DFT (PBE) results for an optimized crystal structure of As3PdW.

Calculated values
Formation enthalpy at 0 K   0.645 eV per atom
E above lowest polymorph   0.0 meV per atom

Cell lengths 4.860, 4.860, 4.860 Å; angles 90.00, 90.00, 90.00 degrees
Element x y z (fractional)
1 As 0.000 0.000 0.500
2 As 0.000 0.500 0.000
3 As 0.500 0.000 0.000
4 Pd 0.500 0.500 0.500
5 W 0.000 0.000 0.000